No. 1
DFT (PBE) results for a relaxed structure of TbSi2Ni9.

Cell and atoms, written as POSCAR:
```
TbSi2Ni9
1.0
-2.320 1.745 5.443
-7.560 0.439 0.133
-1.510 -5.748 4.695
Ni Si Tb
18 4 2
direct
0.065 0.327 0.921
0.013 0.673 0.921
0.608 0.327 0.079
0.437 0.421 0.827
0.750 0.500 0.500
0.685 0.173 0.579
0.437 0.827 0.421
0.737 0.827 0.579
0.737 0.579 0.827
0.142 0.173 0.421
0.313 0.673 0.079
0.013 0.921 0.673
0.065 0.921 0.327
0.313 0.079 0.673
0.608 0.079 0.327
0.685 0.579 0.173
0.142 0.421 0.173
0.000 0.000 0.000
0.875 0.250 0.250
0.875 0.250 0.750
0.875 0.750 0.250
0.375 0.750 0.750
0.250 0.500 0.500
0.500 0.000 0.000
```

Total moment (μB per cell): 0.0
Formation energy (no corrections) (meV/atom): -485
D(E_F) (states/eV/cell): 19.4

---

No. 2
DFT (PBE) results for a relaxed structure of LiAl7Ga12.

Cell and atoms, written as POSCAR:
```
LiAl7Ga12
1.0
-6.392 3.220 -1.724
-0.902 -1.419 7.167
4.598 5.747 0.160
Al Ga Li
7 12 1
direct
0.898 0.617 0.767
0.767 0.898 0.617
0.617 0.767 0.898
0.233 0.102 0.383
0.102 0.383 0.233
0.383 0.233 0.102
0.500 0.500 0.500
0.158 0.100 0.716
0.831 0.539 0.370
0.100 0.716 0.158
0.169 0.461 0.630
0.842 0.900 0.284
0.539 0.370 0.831
0.284 0.842 0.900
0.630 0.169 0.461
0.461 0.630 0.169
0.900 0.284 0.842
0.370 0.831 0.539
0.716 0.158 0.100
0.000 0.000 0.000
```

Total moment (μB per cell): 0.0
E_form (eV per atom): 0.02
D(E_F) (states/eV/cell): 7.1

---

No. 3
DFT (PBE) results for a relaxed structure of Y7ZnS5.

Cell and atoms, written as POSCAR:
```
Y7ZnS5
1.0
3.917 0.000 0.000
-1.958 6.460 0.005
0.000 -0.036 23.490
Y S Zn
14 10 2
direct
0.472 0.944 0.250
0.819 0.637 0.675
0.364 0.727 0.964
0.090 0.180 0.891
0.529 0.057 0.750
0.818 0.636 0.825
0.364 0.728 0.536
0.911 0.821 0.109
0.090 0.181 0.609
0.183 0.365 0.175
0.910 0.820 0.391
0.637 0.273 0.464
0.637 0.274 0.036
0.182 0.364 0.325
0.547 0.095 0.141
0.726 0.452 0.571
0.547 0.094 0.359
0.274 0.549 0.430
0.454 0.908 0.641
0.000 0.001 0.500
0.275 0.549 0.071
0.726 0.452 0.929
0.453 0.906 0.859
0.000 0.001 0.000
0.798 0.597 0.250
0.202 0.405 0.750
```

Total moment (μB per cell): 0.0
Formation energy (no corrections) (meV/atom): -1619
D(E_F) (states/eV/cell): 12.4

---

No. 4
DFT (PBE) results for a relaxed structure of CaTbSm.

Cell and atoms, written as POSCAR:
```
CaTbSm
1.0
3.655 0.000 0.000
-1.828 3.165 0.000
0.000 0.000 9.138
Ca Sm Tb
1 1 1
direct
0.000 0.000 0.002
0.333 0.667 0.651
0.667 0.333 0.346
```

Energy relative to the lowest polymorph listed for this composition (kJ/mol of formula units): 5.6
Total moment (μB per cell): 0.0
E_form (eV per atom): 0.06
D(E_F) (states/eV/cell): 4.1

---

No. 5
DFT (PBE) results for a relaxed structure of AsAu3.

Cell and atoms, written as POSCAR:
```
AsAu3
1.0
-0.307 -3.847 -5.990
7.596 -1.260 0.420
-0.976 -4.835 3.155
Au As
12 4
direct
0.412 0.466 0.750
0.138 0.272 0.499
0.862 0.728 0.999
0.362 0.772 0.001
0.088 0.966 0.750
0.862 0.728 0.501
0.588 0.534 0.250
0.912 0.034 0.250
0.138 0.272 0.001
0.638 0.228 0.501
0.638 0.228 0.999
0.362 0.772 0.499
0.872 0.421 0.750
0.628 0.921 0.750
0.372 0.079 0.250
0.128 0.579 0.250
```

Energy relative to the lowest polymorph listed for this composition (kJ/mol of formula units): 0.0
Total moment (μB per cell): 0.0
E_form (eV per atom): 0.11
D(E_F) (states/eV/cell): 5.5

---

No. 6
DFT (PBE) results for a relaxed structure of TaP2PbCl.

Cell and atoms, written as POSCAR:
```
TaP2PbCl
1.0
5.208 0.000 0.000
0.000 5.208 0.000
0.000 0.000 5.158
Ta Cl P Pb
1 1 2 1
direct
0.500 0.500 0.500
0.000 0.000 0.500
0.500 0.000 0.000
0.000 0.500 0.000
0.000 0.000 0.000
```

Energy relative to the lowest polymorph listed for this composition (kJ/mol of formula units): 783.4
Total moment (μB per cell): 2.0
Formation energy (no corrections) (meV/atom): 1525
D(E_F) (states/eV/cell): 5.7

---

No. 7
DFT (PBE) results for a relaxed structure of HfCoNiTe2.

Cell and atoms, written as POSCAR:
```
HfCoNiTe2
1.0
-1.883 3.086 3.411
-3.371 -2.562 0.457
2.384 -2.498 3.576
Ni Co Te Hf
1 1 2 1
direct
0.000 0.000 0.000
0.000 0.500 0.000
0.500 0.000 0.000
0.000 0.000 0.500
0.500 0.500 0.500
```

Total moment (μB per cell): 1.4
Formation energy (no corrections) (meV/atom): 441
D(E_F) (states/eV/cell): 4.5

---

No. 8
DFT (PBE) results for a relaxed structure of SrSc2IrO8.

Cell and atoms, written as POSCAR:
```
SrSc2IrO8
1.0
4.943 -0.019 -0.003
0.011 4.505 -0.003
0.005 0.009 6.919
O Ir Sc Sr
8 1 2 1
direct
0.323 0.254 0.000
0.849 0.245 0.196
0.467 0.262 0.500
0.533 0.738 0.500
0.677 0.746 0.000
0.151 0.754 0.197
0.151 0.755 0.804
0.849 0.246 0.803
0.000 0.000 0.000
0.500 0.500 0.768
0.500 0.500 0.232
0.000 0.000 0.500
```

Total moment (μB per cell): 0.2
Formation energy (no corrections) (meV/atom): -2020
D(E_F) (states/eV/cell): 5.5